BaNi2O: relaxed, GGA-PBEsol.

Cell: 4.345 4.345 4.345 Å, 60.00 60.00 60.00°
Fractional positions:
Ni 0.250 0.250 0.250
Ni 0.750 0.750 0.750
Ba 0.500 0.500 0.500
O 0.000 0.000 0.000

Magnetization   0.0 Bohr magnetons per cell
Raw total energy   -4.340 eV/atom